1.
This record from the Alexandria database describes crystalline HfMn3Br at its relaxed geometry. The functional is GGA-PBE.

a = 4.2878 Å, b = 4.2878 Å, c = 4.2878 Å
α = 90.00°, β = 90.00°, γ = 90.00°
Space group Pm-3m (No. 221)
Unique sites:
1 Hf 0.0000 0.0000 0.0000 x1
2 Mn 0.0000 0.5000 0.5000 x3
3 Br 0.5000 0.5000 0.5000 x1

Computed properties:
* relative energy among the computed polymorphs: 0.000 eV/atom
* total magnetization: 0.000 μB per atom
* formation energy without anion corrections: 1.0861 eV per atom
* crystal system: cubic

***

2.
This record from the Alexandria database describes crystalline BaZn2Ge2 at its relaxed geometry. The functional is GGA-PBE.

a = 4.5320 Å, b = 4.5320 Å, c = 10.9568 Å
α = 90.00°, β = 90.00°, γ = 90.00°
Space group I4/mmm (No. 139)
Unique sites:
1 Ba 0.0000 0.0000 0.0000 x2
2 Zn 0.0000 0.0000 0.3816 x4
3 Ge 0.0000 0.5000 0.2500 x4

Computed properties:
* energy of formation: -0.332 eV per atom
* total magnetization: 0.000 μB per atom
* crystal system: tetragonal

***

3.
This record from the Alexandria database describes crystalline Ba2MgUSe5 at its relaxed geometry. The functional is GGA-PBE.

a = 4.3701 Å, b = 18.7120 Å, c = 13.5051 Å
α = 90.00°, β = 90.00°, γ = 90.00°
Space group Cmc2_1 (No. 36)
Unique sites:
1 Ba 0.0000 0.1083 0.0000 x4
2 Ba 0.0000 0.1265 0.6280 x4
3 Mg 0.0000 0.4466 0.7610 x4
4 U 0.0000 0.2081 0.3326 x4
5 Se 0.0000 0.0573 0.3642 x4
6 Se 0.0000 0.2868 0.9705 x4
7 Se 0.0000 0.3079 0.6922 x4
8 Se 0.0000 0.3564 0.3177 x4
9 Se 0.0000 0.4979 0.0914 x4

Computed properties:
* total magnetization: 0.222 μB per atom
* formation energy without anion corrections: -1.5874 eV per atom
* crystal system: orthorhombic

***

4.
This record from the Alexandria database describes crystalline GdHoAlOs at its relaxed geometry. The functional is GGA-PBE.

a = 7.0006 Å, b = 7.0006 Å, c = 7.0006 Å
α = 90.00°, β = 90.00°, γ = 90.00°
Space group F-43m (No. 216)
Unique sites:
1 Gd 0.0000 0.0000 0.0000 x4
2 Ho 0.0000 0.0000 0.5000 x4
3 Al 0.2500 0.2500 0.2500 x4
4 Os 0.2500 0.2500 0.7500 x4

Computed properties:
* energy of formation: -0.252 eV per atom
* total magnetization: 1.740 μB per atom
* crystal system: cubic

***

5.
This record from the Alexandria database describes crystalline La2YCdC at its relaxed geometry. The functional is GGA-PBE.

a = 5.2820 Å, b = 5.2820 Å, c = 4.9043 Å
α = 90.00°, β = 90.00°, γ = 90.00°
Space group P4/mmm (No. 123)
Unique sites:
1 La 0.0000 0.5000 0.0000 x2
2 Y 0.0000 0.0000 0.5000 x1
3 Cd 0.5000 0.5000 0.5000 x1
4 C 0.0000 0.0000 0.0000 x1

Computed properties:
* energy of formation: -0.213 eV per atom
* total magnetization: 0.000 μB per atom
* crystal system: tetragonal

***

6.
This record from the Alexandria database describes crystalline CaInRhSe2 at its relaxed geometry. The functional is GGA-PBE.

a = 5.0992 Å, b = 5.0992 Å, c = 5.3834 Å
α = 90.00°, β = 90.00°, γ = 90.00°
Space group P4/mmm (No. 123)
Unique sites:
1 Ca 0.0000 0.0000 0.0000 x1
2 In 0.0000 0.0000 0.5000 x1
3 Rh 0.5000 0.5000 0.0000 x1
4 Se 0.0000 0.5000 0.5000 x2

Computed properties:
* total magnetization: 0.000 μB per atom
* formation energy without anion corrections: 0.7871 eV per atom
* crystal system: tetragonal

***

7.
This record from the Alexandria database describes crystalline LiPrPd3 at its relaxed geometry. The functional is GGA-PBE.

a = 5.5522 Å, b = 7.7928 Å, c = 8.7156 Å
α = 90.00°, β = 90.00°, γ = 90.00°
Space group Imma (No. 74)
Unique sites:
1 Li 0.0000 0.0000 0.0000 x4
2 Pr 0.0000 0.2500 0.4981 x4
3 Pd 0.0000 0.2500 0.8231 x4
4 Pd 0.2500 0.0507 0.2500 x8

Computed properties:
* energy of formation: -0.537 eV per atom
* relative energy among the computed polymorphs: 0.033 eV/atom
* total magnetization: 0.000 μB per atom
* crystal system: orthorhombic

***

8.
This record from the Alexandria database describes crystalline Ac2Ni5Pt5 at its relaxed geometry. The functional is GGA-PBE.

a = 4.2016 Å, b = 5.2738 Å, c = 9.4893 Å
α = 90.00°, β = 90.00°, γ = 90.00°
Space group Pmmm (No. 47)
Unique sites:
1 Ac 0.0000 0.0000 0.0000 x1
2 Ac 0.0000 0.5000 0.5000 x1
3 Ni 0.5000 0.0000 0.5000 x1
4 Ni 0.5000 0.2474 0.2558 x4
5 Pt 0.0000 0.0000 0.3331 x2
6 Pt 0.0000 0.5000 0.1813 x2
7 Pt 0.5000 0.5000 0.0000 x1

Computed properties:
* energy of formation: -0.524 eV per atom
* total magnetization: 0.125 μB per atom
* crystal system: orthorhombic

***

What is the total magnetization in the fifth record?
0.000 μB per atom

***

What is the total magnetization in the fourth record?
1.740 μB per atom

***

What did the eighth record say?
This record from the Alexandria database describes crystalline Ac2Ni5Pt5 at its relaxed geometry. The functional is GGA-PBE.

a = 4.2016 Å, b = 5.2738 Å, c = 9.4893 Å
α = 90.00°, β = 90.00°, γ = 90.00°
Space group Pmmm (No. 47)
Unique sites:
1 Ac 0.0000 0.0000 0.0000 x1
2 Ac 0.0000 0.5000 0.5000 x1
3 Ni 0.5000 0.0000 0.5000 x1
4 Ni 0.5000 0.2474 0.2558 x4
5 Pt 0.0000 0.0000 0.3331 x2
6 Pt 0.0000 0.5000 0.1813 x2
7 Pt 0.5000 0.5000 0.0000 x1

Computed properties:
* energy of formation: -0.524 eV per atom
* total magnetization: 0.125 μB per atom
* crystal system: orthorhombic